(1)
This record from Alexandria describes a relaxed CeSmHgRu crystal. The functional is GGA-PBE.

Unit cell a=3.4493 b=3.4493 c=8.0739 alpha=90.00 beta=90.00 gamma=90.00
Atoms (fractional coordinates):
Ce (0.0000, 0.0000, 0.0000)
Sm (0.0000, 0.0000, 0.4288)
Hg (0.5000, 0.5000, 0.7097)
Ru (0.5000, 0.5000, 0.2038)

Output
SG ... P4mm
Size of the total moment ... 0.0 μB/cell
ΔE_f ... -355 meV/atom
D(E_F) ... 6.4 states/eV/cell
Energy relative to the lowest polymorph listed for this composition ... 0.0000 eV/atom

---

(2)
This record from Alexandria describes a relaxed SrIrN2F crystal. The functional is GGA-PBE.

Unit cell a=3.7619 b=3.7619 c=5.6604 alpha=90.00 beta=90.00 gamma=90.00
Atoms (fractional coordinates):
Sr (0.0000, 0.0000, 0.0000)
Ir (0.5000, 0.5000, 0.5000)
N (0.0000, 0.5000, 0.5000)
N (0.5000, 0.0000, 0.5000)
F (0.5000, 0.5000, 0.0000)

Output
SG ... P4/mmm
Size of the total moment ... 0.0 μB/cell
E_form (uncorrected) ... -725.5 meV/atom
D(E_F) ... 1.7 states/eV/cell
Energy relative to the lowest polymorph listed for this composition ... 0.0000 eV/atom

---

(3)
This record from Alexandria describes a relaxed BaGaCuAg2 crystal. The functional is GGA-PBE.

Unit cell a=5.1323 b=5.1323 c=4.6930 alpha=90.00 beta=90.00 gamma=90.00
Atoms (fractional coordinates):
Ba (0.0000, 0.0000, 0.0000)
Ga (0.5000, 0.5000, 0.0000)
Cu (0.5000, 0.5000, 0.5000)
Ag (0.0000, 0.5000, 0.5000)
Ag (0.5000, 0.0000, 0.5000)

Output
SG ... P4/mmm
Size of the total moment ... 0.0 μB/cell
ΔE_f ... -73 meV/atom
D(E_F) ... 2.1 states/eV/cell
Energy relative to the lowest polymorph listed for this composition ... 0.0000 eV/atom

---

Please write out number 3 again, unchanged.
This record from Alexandria describes a relaxed BaGaCuAg2 crystal. The functional is GGA-PBE.

Unit cell a=5.1323 b=5.1323 c=4.6930 alpha=90.00 beta=90.00 gamma=90.00
Atoms (fractional coordinates):
Ba (0.0000, 0.0000, 0.0000)
Ga (0.5000, 0.5000, 0.0000)
Cu (0.5000, 0.5000, 0.5000)
Ag (0.0000, 0.5000, 0.5000)
Ag (0.5000, 0.0000, 0.5000)

Output
SG ... P4/mmm
Size of the total moment ... 0.0 μB/cell
ΔE_f ... -73 meV/atom
D(E_F) ... 2.1 states/eV/cell
Energy relative to the lowest polymorph listed for this composition ... 0.0000 eV/atom

---

Which formula does entry 3 have? BaGaCuAg2

---

The highest D(E_F) belongs to which entry? CeSmHgRu